The following is a GGA+U calculation of a relaxed NiAsPt2O6 crystal, from Alexandria.

Output
Spin magnetization in μB/cell: 3.5
Uncorrected energy in eV per atom: -5.64
D(E_F) in states/eV/f.u.: 3.4
Space group: No. 15

a = 5.484 Å, b = 7.281 Å, c = 7.281 Å
α = 58.39°, β = 75.75°, γ = 75.75°
Each line ends with the local moment (μB).
Atoms (fractional coordinates):
Pt 0.281 0.924 0.571  -0.02
Pt 0.219 0.429 0.076  -0.02
Pt 0.781 0.571 0.924  -0.02
Pt 0.719 0.076 0.429  -0.02
O 0.578 0.357 0.194  -0.01
O 0.890 0.376 0.798  -0.02
O 0.150 0.046 0.786  0.04
O 0.610 0.202 0.624  -0.02
O 0.650 0.786 0.046  0.04
O 0.350 0.214 0.954  0.04
O 0.078 0.194 0.357  -0.01
O 0.922 0.806 0.643  -0.01
O 0.422 0.643 0.806  -0.01
O 0.110 0.624 0.202  -0.02
O 0.850 0.954 0.214  0.04
O 0.390 0.798 0.376  -0.02
As 0.750 0.684 0.316  -0.02
As 0.250 0.316 0.684  -0.02
Ni 0.250 0.893 0.107  1.75
Ni 0.750 0.107 0.893  1.75